*1*
Compound: Ca2Si3Ni2
Source: the Alexandria database
Functional: GGA-PBE
Structure: relaxed

Structure (extended XYZ):
```
7
Lattice="3.851 0.000 0.000 -1.926 5.347 -0.505 0.000 -3.085 6.133" Properties=species:S:1:pos:R:3 pbc="T T T"
Ca 1.926 3.147 1.087
Ca 0.000 -0.886 4.541
Si 1.926 0.000 0.000
Si 1.926 0.243 2.541
Si 0.000 2.018 3.087
Ni 1.926 1.600 4.442
Ni 0.000 0.661 1.186
```

Results
Total moment in μB/f.u.: 0.00



*2*
Compound: Ca2Si3Ni2
Source: the Alexandria database
Functional: GGA-PBE
Structure: relaxed

Structure (extended XYZ):
```
14
Lattice="-1.589 -1.694 -3.469 4.984 -4.480 -0.095 -3.916 -4.494 6.501" Properties=species:S:1:pos:R:3 pbc="T T T"
Ca -0.238 -2.803 1.478
Ca -0.283 -7.865 1.459
Ca -3.714 -6.691 2.457
Ca 3.193 -3.977 0.480
Si 1.585 -5.800 2.107
Si -2.107 -4.868 0.830
Si 0.744 -3.438 -1.174
Si -1.265 -7.230 4.111
Si 0.508 -8.824 4.077
Si -1.029 -1.844 -1.140
Ni 2.081 -7.142 0.023
Ni -2.602 -3.526 2.914
Ni -0.676 -5.257 2.877
Ni 0.155 -5.411 0.060
```

Results
Total moment in μB/f.u.: 0.00



Top of the stability list: *1*, leading by 13 meV per atom.



*1*
Compound: CaSi3Ni2
Source: the Alexandria database
Functional: GGA-PBE
Structure: relaxed

Structure (extended XYZ):
```
12
Lattice="4.961 0.000 0.000 0.000 6.139 -0.185 0.000 -1.414 5.977" Properties=species:S:1:pos:R:3 pbc="T T T"
Ca 1.240 1.613 1.978
Ca 3.721 3.112 3.815
Si 3.721 2.789 0.438
Si 3.721 -0.131 2.820
Si 1.240 1.936 5.354
Si 3.721 0.367 0.450
Si 1.240 4.358 5.342
Si 1.240 4.856 2.972
Ni 2.481 4.658 1.023
Ni 0.000 4.658 1.023
Ni 0.000 0.067 4.769
Ni 2.481 0.067 4.769
```

Results
Total moment in μB/f.u.: 0.00



*2*
Compound: CaSi3Ni2
Source: the Alexandria database
Functional: GGA-PBE
Structure: relaxed

Structure (extended XYZ):
```
18
Lattice="-1.564 -0.548 3.500 -6.250 1.244 -4.740 1.720 -9.107 -0.659" Properties=species:S:1:pos:R:3 pbc="T T T"
Ca -0.917 -6.125 -1.370
Ca -5.177 -2.286 -0.529
Ca 0.000 0.000 0.000
Si -0.101 -3.180 -0.544
Si -5.993 -5.231 -1.355
Si -2.468 -2.939 -1.563
Si -3.626 -5.472 -0.336
Si -2.375 -1.737 0.809
Si -3.719 -6.674 -2.708
Si 0.078 -4.828 1.421
Si -4.830 0.140 -2.136
Si -1.265 -8.551 0.237
Ni -2.695 -0.513 -1.285
Ni -3.399 -7.898 -0.614
Ni -6.533 -1.247 -3.114
Ni 0.438 -7.163 1.216
Ni -4.020 -4.386 -2.484
Ni -2.074 -4.025 0.585
```

Results
Total moment in μB/f.u.: 0.00



Top of the stability list: *2*, leading by 29 meV per atom.



*1*
Compound: CaSm2Ni
Source: the Alexandria database
Functional: GGA-PBE
Structure: relaxed

Structure (extended XYZ):
```
4
Lattice="-2.089 1.525 -2.388 -0.002 -2.968 -1.894 -7.600 -3.011 4.727" Properties=species:S:1:pos:R:3 pbc="T T T"
Ni -1.046 -0.721 -2.141
Ca -4.846 -2.227 0.223
Sm -6.296 -2.494 3.916
Sm -1.305 -0.517 0.812
```

Results
Total moment in μB/f.u.: 0.00



*2*
Compound: CaSm2Ni
Source: the Alexandria database
Functional: GGA-PBE
Structure: relaxed

Structure (extended XYZ):
```
4
Lattice="4.010 0.000 0.000 2.005 3.473 0.000 2.005 1.158 9.359" Properties=species:S:1:pos:R:3 pbc="T T T"
Ca 4.010 2.315 4.646
Sm 2.005 1.158 7.883
Sm 2.005 1.158 1.494
Ni 4.010 2.315 0.016
```

Results
Total moment in μB/f.u.: 0.00



Top of the stability list: *1*, leading by 16 meV per atom.



*1*
Compound: Ca2NiSn3
Source: the Alexandria database
Functional: GGA-PBE
Structure: relaxed

Structure (extended XYZ):
```
6
Lattice="0.772 4.497 1.201 -2.290 1.433 5.376 5.104 0.667 3.492" Properties=species:S:1:pos:R:3 pbc="T T T"
Ca 3.685 3.198 4.194
Ca 0.042 3.322 6.071
Ni 0.545 1.526 3.203
Sn 2.603 5.252 6.467
Sn 0.735 4.068 2.830
Sn 3.148 2.424 7.440
```

Results
Total moment in μB/f.u.: 0.00



*2*
Compound: Ca2NiSn3
Source: the Alexandria database
Functional: GGA-PBE
Structure: relaxed

Structure (extended XYZ):
```
6
Lattice="-1.254 1.868 3.776 0.176 -4.075 2.074 7.681 1.302 1.906" Properties=species:S:1:pos:R:3 pbc="T T T"
Ca 0.342 -1.994 1.100
Ca 3.758 0.637 0.933
Ni 1.891 -0.692 3.528
Sn 5.824 2.027 3.489
Sn 0.869 1.187 2.259
Sn 4.274 -0.288 4.119
```

Results
Total moment in μB/f.u.: 0.00



Top of the stability list: *1*, leading by 64 meV per atom.



*1*
Compound: Sr3CaNi
Source: the Alexandria database
Functional: GGA-PBE
Structure: relaxed

Structure (extended XYZ):
```
5
Lattice="-2.988 -4.601 2.242 4.966 -3.234 -0.019 1.238 1.869 5.486" Properties=species:S:1:pos:R:3 pbc="T T T"
Sr 2.483 -1.617 -0.009
Sr 0.619 0.934 2.743
Sr -1.494 -2.301 1.121
Ca 1.608 -2.983 3.854
Ni 0.000 0.000 0.000
```

Results
Total moment in μB/f.u.: 0.00



*2*
Compound: Sr3CaNi
Source: the Alexandria database
Functional: GGA-PBE
Structure: relaxed

Structure (extended XYZ):
```
5
Lattice="-2.539 6.038 0.646 -1.260 0.161 -6.459 -5.941 -2.615 1.094" Properties=species:S:1:pos:R:3 pbc="T T T"
Sr -0.630 0.081 -3.229
Sr -2.970 -1.308 0.547
Sr -1.270 3.019 0.323
Ca 0.000 0.000 0.000
Ni -4.870 1.792 -2.359
```

Results
Total moment in μB/f.u.: 1.94



*3*
Compound: Sr3CaNi
Source: the Alexandria database
Functional: GGA-PBE
Structure: relaxed

Structure (extended XYZ):
```
10
Lattice="-0.522 4.077 -0.930 -5.950 -2.521 -7.709 -4.908 1.569 9.630" Properties=species:S:1:pos:R:3 pbc="T T T"
Sr -5.072 -0.116 -2.435
Sr -6.308 3.241 3.425
Sr -3.678 1.999 6.051
Sr -2.053 2.500 -2.209
Sr -7.701 1.127 -5.060
Sr -9.326 0.625 3.199
Ca -7.362 2.288 -0.160
Ca -4.017 0.837 1.150
Ni -3.922 1.696 -4.684
Ni -7.457 1.429 5.675
```

Results
Total moment in μB/f.u.: 0.00



Top of the stability list: *1*, leading by 10 meV per atom.



*1*
Compound: SrCa2Ni
Source: the Alexandria database
Functional: GGA-PBE
Structure: relaxed

Structure (extended XYZ):
```
4
Lattice="-0.406 2.471 -2.676 -3.272 -1.455 -0.848 -7.611 4.568 5.373" Properties=species:S:1:pos:R:3 pbc="T T T"
Sr -8.039 3.123 1.593
Ca -3.341 -1.364 -0.754
Ca -3.251 2.466 0.260
Ni -5.373 1.462 2.165
```

Results
Total moment in μB/f.u.: 0.00



*2*
Compound: SrCa2Ni
Source: the Alexandria database
Functional: GGA-PBE
Structure: relaxed

Structure (extended XYZ):
```
4
Lattice="-3.141 1.733 -0.651 0.552 -0.347 -3.587 -4.720 -8.518 0.099" Properties=species:S:1:pos:R:3 pbc="T T T"
Sr -4.835 -5.696 -2.045
Ca -0.393 -0.709 0.008
Ca -1.967 -3.550 0.041
Ni -2.475 -1.437 -2.094
```

Results
Total moment in μB/f.u.: 0.00



Top of the stability list: *2*, leading by 20 meV per atom.



*1*
Compound: SrCa2Ni
Source: the Alexandria database
Functional: GGA-PBE
Structure: relaxed

Structure (extended XYZ):
```
4
Lattice="5.606 0.000 0.000 2.803 4.855 0.000 2.803 1.618 4.577" Properties=species:S:1:pos:R:3 pbc="T T T"
Sr 8.409 4.855 3.433
Ca 0.000 0.000 0.000
Ca 2.803 1.618 1.144
Ni 5.606 3.237 2.289
```

Results
Total moment in μB/f.u.: 0.00



*2*
Compound: SrCa2Ni
Source: the Alexandria database
Functional: GGA-PBE
Structure: relaxed

Structure (extended XYZ):
```
4
Lattice="6.934 0.059 0.002 3.358 6.066 -0.002 -4.367 -4.371 3.147" Properties=species:S:1:pos:R:3 pbc="T T T"
Sr 3.856 -0.625 1.574
Ca 0.738 0.439 0.000
Ca 4.408 2.624 0.000
Ni 2.068 2.379 1.572
```

Results
Total moment in μB/f.u.: 0.00



*3*
Compound: SrCa2Ni
Source: the Alexandria database
Functional: GGA-PBE
Structure: relaxed

Structure (extended XYZ):
```
8
Lattice="4.114 0.002 0.000 -2.054 6.564 0.000 0.000 0.000 9.700" Properties=species:S:1:pos:R:3 pbc="T T T"
Sr 2.058 5.545 2.425
Sr 0.001 1.021 7.275
Ca 0.001 4.553 5.529
Ca 2.058 2.013 4.171
Ca 0.001 4.553 9.021
Ca 2.058 2.013 0.679
Ni 2.057 3.291 7.275
Ni 0.002 3.275 2.425
```

Results
Total moment in μB/f.u.: 0.00



*4*
Compound: SrCa2Ni
Source: the Alexandria database
Functional: GGA-PBE
Structure: relaxed

Structure (extended XYZ):
```
4
Lattice="1.807 -2.243 4.727 3.455 2.835 3.265 -1.776 1.974 4.857" Properties=species:S:1:pos:R:3 pbc="T T T"
Sr 1.743 1.284 6.424
Ca 0.872 0.642 3.212
Ca 2.615 1.925 9.636
Ni 0.000 0.000 0.000
```

Results
Total moment in μB/f.u.: 0.00



Top of the stability list: *3*, leading by 94 meV per atom.



*1*
Compound: SrCa2Ni
Source: the Alexandria database
Functional: GGA-PBE
Structure: relaxed

Structure (extended XYZ):
```
8
Lattice="-1.344 -3.247 -2.154 6.637 -1.843 2.581 -4.536 -3.050 7.427" Properties=species:S:1:pos:R:3 pbc="T T T"
Sr 4.193 -2.744 1.522
Sr -3.435 -5.395 6.332
Ca 0.987 -4.606 2.384
Ca -0.230 -3.534 5.470
Ca 1.723 -6.840 5.292
Ca -0.965 -1.300 2.562
Ni 2.961 -4.258 4.571
Ni -2.203 -3.882 3.283
```

Results
Total moment in μB/f.u.: 0.00



*2*
Compound: SrCa2Ni
Source: the Alexandria database
Functional: GGA-PBE
Structure: relaxed

Structure (extended XYZ):
```
8
Lattice="8.170 0.000 0.000 0.000 8.170 0.000 4.085 4.085 5.689" Properties=species:S:1:pos:R:3 pbc="T T T"
Sr 0.000 0.000 0.000
Sr 8.170 4.085 2.845
Ca 4.126 2.042 1.422
Ca 4.044 6.127 1.422
Ca 6.127 8.129 4.267
Ca 10.212 8.211 4.267
Ni 4.085 4.085 0.000
Ni 4.085 8.170 2.845
```

Results
Total moment in μB/f.u.: 0.00



Top of the stability list: *1*, leading by 449 meV per atom.